## i
# TiMnAg2

Crystalline TiMnAg2 at its relaxed geometry (PBE, Alexandria via LeMat-Bulk).

Summary:
Volume = 284.5 Å³/cell
Magnetization = 6.81 μB per cell
SG = I-42d

Unit cell a=3.779 b=3.779 c=19.920 alpha=90.00 beta=90.00 gamma=90.00
Atoms (fractional coordinates):
1 Ti 0.000 0.000 0.000
2 Ti 0.000 0.500 0.250
3 Ti 0.500 0.000 0.750
4 Ti 0.500 0.500 0.500
5 Mn 0.000 0.000 0.500
6 Mn 0.000 0.500 0.750
7 Mn 0.500 0.000 0.250
8 Mn 0.500 0.500 0.000
9 Ag 0.245 0.250 0.625
10 Ag 0.250 0.745 0.875
11 Ag 0.250 0.755 0.375
12 Ag 0.255 0.250 0.125
13 Ag 0.745 0.750 0.125
14 Ag 0.750 0.245 0.375
15 Ag 0.750 0.255 0.875
16 Ag 0.755 0.750 0.625

=====

## ii
# TiMnAg2

Crystalline TiMnAg2 at its relaxed geometry (PBE, Alexandria via LeMat-Bulk).

Summary:
Volume = 253.9 Å³/cell
Magnetization = 0.00 μB per cell
SG = Fm-3m

Unit cell a=6.333 b=6.333 c=6.333 alpha=90.00 beta=90.00 gamma=90.00
Atoms (fractional coordinates):
1 Ti 0.000 0.000 0.000
2 Ti 0.000 0.500 0.500
3 Ti 0.500 0.000 0.500
4 Ti 0.500 0.500 0.000
5 Mn 0.000 0.000 0.500
6 Mn 0.000 0.500 0.000
7 Mn 0.500 0.000 0.000
8 Mn 0.500 0.500 0.500
9 Ag 0.250 0.250 0.250
10 Ag 0.250 0.250 0.750
11 Ag 0.250 0.750 0.250
12 Ag 0.250 0.750 0.750
13 Ag 0.750 0.250 0.250
14 Ag 0.750 0.250 0.750
15 Ag 0.750 0.750 0.250
16 Ag 0.750 0.750 0.750

=====

Going by the energies, i is most stable and the next is 12.1 kJ/mol of atoms up.

=====

## i
# MnTlAg

Crystalline MnTlAg at its relaxed geometry (PBE, Alexandria via LeMat-Bulk).

Summary:
Volume = 119.2 Å³/cell
Magnetization = 7.99 μB per cell
SG = I4mm

Unit cell a=3.184 b=3.184 c=11.754 alpha=90.00 beta=90.00 gamma=90.00
Atoms (fractional coordinates):
1 Mn 0.000 0.000 0.000
2 Mn 0.500 0.500 0.500
3 Tl 0.000 0.000 0.329
4 Tl 0.500 0.500 0.829
5 Ag 0.000 0.000 0.642
6 Ag 0.500 0.500 0.142

=====

## ii
# MnTlAg

Crystalline MnTlAg at its relaxed geometry (PBE, Alexandria via LeMat-Bulk).

Summary:
Volume = 119.2 Å³/cell
Magnetization = 8.27 μB per cell
SG = Imm2

Unit cell a=3.251 b=4.097 c=8.946 alpha=90.00 beta=90.00 gamma=90.00
Atoms (fractional coordinates):
1 Mn 0.000 0.000 0.000
2 Mn 0.500 0.500 0.500
3 Tl 0.000 0.000 0.325
4 Tl 0.500 0.500 0.825
5 Ag 0.000 0.000 0.651
6 Ag 0.500 0.500 0.151

=====

Going by the energies, i is most stable and the next is 2.2 kJ/mol of atoms up.

=====

## i
# MnTlAg

Crystalline MnTlAg at its relaxed geometry (PBE, Alexandria via LeMat-Bulk).

Summary:
Volume = 59.3 Å³/cell
Magnetization = 3.87 μB per cell
SG = P3m1

Unit cell a=4.731 b=4.731 c=3.061 alpha=90.00 beta=90.00 gamma=120.00
Atoms (fractional coordinates):
1 Mn 0.000 0.000 0.000
2 Tl 0.333 0.667 0.352
3 Ag 0.667 0.333 0.603

=====

## ii
# MnTlAg

Crystalline MnTlAg at its relaxed geometry (PBE, Alexandria via LeMat-Bulk).

Summary:
Volume = 267.5 Å³/cell
Magnetization = 15.80 μB per cell
SG = F-43m

Unit cell a=6.443 b=6.443 c=6.443 alpha=90.00 beta=90.00 gamma=90.00
Atoms (fractional coordinates):
1 Mn 0.000 0.000 0.000
2 Mn 0.000 0.500 0.500
3 Mn 0.500 0.000 0.500
4 Mn 0.500 0.500 0.000
5 Tl 0.250 0.250 0.750
6 Tl 0.250 0.750 0.250
7 Tl 0.750 0.250 0.250
8 Tl 0.750 0.750 0.750
9 Ag 0.250 0.250 0.250
10 Ag 0.250 0.750 0.750
11 Ag 0.750 0.250 0.750
12 Ag 0.750 0.750 0.250

=====

Going by the energies, i is most stable and the next is 9.4 kJ/mol of atoms up.

=====

## i
# MnTl2Ag

Crystalline MnTl2Ag at its relaxed geometry (PBE, Alexandria via LeMat-Bulk).

Summary:
Volume = 176.6 Å³/cell
Magnetization = 8.04 μB per cell
SG = I-4m2

Unit cell a=4.291 b=4.291 c=9.591 alpha=90.00 beta=90.00 gamma=90.00
Atoms (fractional coordinates):
1 Mn 0.000 0.000 0.000
2 Mn 0.500 0.500 0.500
3 Tl 0.000 0.000 0.500
4 Tl 0.000 0.500 0.750
5 Tl 0.500 0.000 0.250
6 Tl 0.500 0.500 0.000
7 Ag 0.000 0.500 0.250
8 Ag 0.500 0.000 0.750

=====

## ii
# MnTl2Ag

Crystalline MnTl2Ag at its relaxed geometry (PBE, Alexandria via LeMat-Bulk).

Summary:
Volume = 179.4 Å³/cell
Magnetization = 7.44 μB per cell
SG = Imm2

Unit cell a=3.216 b=4.806 c=11.606 alpha=90.00 beta=90.00 gamma=90.00
Atoms (fractional coordinates):
1 Mn 0.000 0.000 0.000
2 Mn 0.500 0.500 0.500
3 Tl 0.000 0.000 0.500
4 Tl 0.000 0.500 0.718
5 Tl 0.500 0.000 0.218
6 Tl 0.500 0.500 0.000
7 Ag 0.000 0.500 0.303
8 Ag 0.500 0.000 0.803

=====

Going by the energies, ii is most stable and the next is 5.8 kJ/mol of atoms up.

=====

## i
# MnTl2Ag

Crystalline MnTl2Ag at its relaxed geometry (PBE, Alexandria via LeMat-Bulk).

Summary:
Volume = 318.7 Å³/cell
Magnetization = 1.79 μB per cell
SG = Fm-3m

Unit cell a=6.830 b=6.830 c=6.830 alpha=90.00 beta=90.00 gamma=90.00
Atoms (fractional coordinates):
1 Mn 0.000 0.000 0.000
2 Mn 0.000 0.500 0.500
3 Mn 0.500 0.000 0.500
4 Mn 0.500 0.500 0.000
5 Tl 0.250 0.250 0.250
6 Tl 0.250 0.250 0.750
7 Tl 0.250 0.750 0.250
8 Tl 0.250 0.750 0.750
9 Tl 0.750 0.250 0.250
10 Tl 0.750 0.250 0.750
11 Tl 0.750 0.750 0.250
12 Tl 0.750 0.750 0.750
13 Ag 0.000 0.000 0.500
14 Ag 0.000 0.500 0.000
15 Ag 0.500 0.000 0.000
16 Ag 0.500 0.500 0.500

=====

## ii
# MnTl2Ag

Crystalline MnTl2Ag at its relaxed geometry (PBE, Alexandria via LeMat-Bulk).

Summary:
Volume = 88.1 Å³/cell
Magnetization = 4.17 μB per cell
SG = P4/mmm

Unit cell a=4.909 b=4.909 c=3.656 alpha=90.00 beta=90.00 gamma=90.00
Atoms (fractional coordinates):
1 Mn 0.000 0.000 0.000
2 Tl 0.000 0.500 0.500
3 Tl 0.500 0.000 0.500
4 Ag 0.500 0.500 0.000

=====

Going by the energies, ii is most stable and the next is 42.0 kJ/mol of atoms up.

=====

## i
# MnTl2Ag

Crystalline MnTl2Ag at its relaxed geometry (PBE, Alexandria via LeMat-Bulk).

Summary:
Volume = 388.6 Å³/cell
Magnetization = 16.38 μB per cell
SG = I-42d

Unit cell a=4.435 b=4.435 c=19.754 alpha=90.00 beta=90.00 gamma=90.00
Atoms (fractional coordinates):
1 Mn 0.000 0.000 0.000
2 Mn 0.000 0.500 0.250
3 Mn 0.500 0.000 0.750
4 Mn 0.500 0.500 0.500
5 Tl 0.245 0.250 0.125
6 Tl 0.250 0.745 0.375
7 Tl 0.250 0.755 0.875
8 Tl 0.255 0.250 0.625
9 Tl 0.745 0.750 0.625
10 Tl 0.750 0.245 0.875
11 Tl 0.750 0.255 0.375
12 Tl 0.755 0.750 0.125
13 Ag 0.000 0.000 0.500
14 Ag 0.000 0.500 0.750
15 Ag 0.500 0.000 0.250
16 Ag 0.500 0.500 0.000

=====

## ii
# MnTl2Ag

Crystalline MnTl2Ag at its relaxed geometry (PBE, Alexandria via LeMat-Bulk).

Summary:
Volume = 90.1 Å³/cell
Magnetization = 3.99 μB per cell
SG = Pm

Unit cell a=3.520 b=4.766 c=5.485 alpha=90.00 beta=101.69 gamma=90.00
Atoms (fractional coordinates):
1 Mn 0.000 0.000 0.000
2 Tl 0.353 0.000 0.534
3 Tl 0.557 0.500 0.143
4 Ag 0.906 0.500 0.690

=====

Going by the energies, ii is most stable and the next is 12.8 kJ/mol of atoms up.